Record 1
# InCoPb2, optimized geometry, DFT PBE
data_InCoPb2
_symmetry_space_group_name_H-M 'P 4/m m m'
_symmetry_Int_Tables_number 123
_symmetry_space_group_name_Hall '-P 4 2'
_cell_length_a 4.758
_cell_length_b 4.758
_cell_length_c 4.279
_cell_angle_alpha 90.00
_cell_angle_beta 90.00
_cell_angle_gamma 90.00
loop_
_atom_site_label
_atom_site_type_symbol
_atom_site_fract_x
_atom_site_fract_y
_atom_site_fract_z
In1 In 0.000 0.000 0.000
Co1 Co 0.500 0.500 0.000
Pb1 Pb 0.000 0.500 0.500
# calculated density: 10.08 Mg/m³
# volume: 96.9 Å³ per cell
# calculated formation energy: 0.5192 eV per atom

Record 2
# CeGaSnSb, optimized geometry, DFT PBE
data_CeGaSnSb
_symmetry_space_group_name_H-M 'P m m m'
_symmetry_Int_Tables_number 47
_cell_length_a 4.532
_cell_length_b 4.571
_cell_length_c 4.732
_cell_angle_alpha 90.00
_cell_angle_beta 90.00
_cell_angle_gamma 90.00
loop_
_symmetry_equiv_pos_as_xyz
'x,y,z'
'-x,-y,-z'
'-x,-y,z'
'x,y,-z'
'x,-y,-z'
'-x,y,z'
'-x,y,-z'
'x,-y,z'
loop_
_atom_site_label
_atom_site_type_symbol
_atom_site_fract_x
_atom_site_fract_y
_atom_site_fract_z
Ce1 Ce 0.000 0.000 0.000
Ga1 Ga 0.500 0.000 0.500
Sn1 Sn 0.000 0.500 0.500
Sb1 Sb 0.500 0.500 0.000
# calculated density: 7.63 Mg/m³
# volume: 98.0 Å³ per cell
# formation energy (no corrections): -572 meV/atom

Record 3
# TaBe2Re, optimized geometry, DFT PBE
data_TaBe2Re
_symmetry_space_group_name_H-M 'F -4 3 m'
_symmetry_Int_Tables_number 216
_symmetry_space_group_name_Hall 'F -4 2 3'
_cell_length_a 5.983
_cell_length_b 5.983
_cell_length_c 5.983
_cell_angle_alpha 90.00
_cell_angle_beta 90.00
_cell_angle_gamma 90.00
loop_
_atom_site_label
_atom_site_type_symbol
_atom_site_fract_x
_atom_site_fract_y
_atom_site_fract_z
Ta1 Ta 0.000 0.000 0.000
Be1 Be 0.000 0.000 0.500
Be2 Be 0.250 0.250 0.750
Re1 Re 0.250 0.250 0.250
# polymorph energy (0 for the lowest one): 0.538 eV/atom
# calculated density: 11.95 Mg/m³
# volume: 214.2 Å³ per cell
# calculated formation energy: 0.1560 eV per atom

Record 4
# TaHg2Os, optimized geometry, DFT PBE
data_TaHg2Os
_symmetry_space_group_name_H-M 'R -3 m'
_symmetry_Int_Tables_number 166
_symmetry_space_group_name_Hall '-R 3 2"'
_cell_length_a 2.9559
_cell_length_b 2.9559
_cell_length_c 28.9812
_cell_angle_alpha 90.00
_cell_angle_beta 90.00
_cell_angle_gamma 120.00
loop_
_atom_site_label
_atom_site_type_symbol
_atom_site_fract_x
_atom_site_fract_y
_atom_site_fract_z
Ta1 Ta 0.0000 0.0000 0.0000
Hg1 Hg 0.0000 0.0000 0.2475
Os1 Os 0.0000 0.0000 0.5000
# polymorph energy (0 for the lowest one): 0.452 eV/atom
# calculated density: 17.55 Mg/m³
# volume: 219.3 Å³ per cell
# calculated formation energy: 0.6915 eV per atom

Record 5
# CuTc2W, optimized geometry, DFT PBE
data_CuTc2W
_symmetry_space_group_name_H-M 'P 1 2/m 1'
_symmetry_Int_Tables_number 10
_cell_length_a 2.642
_cell_length_b 4.338
_cell_length_c 5.173
_cell_angle_alpha 90.00
_cell_angle_beta 99.83
_cell_angle_gamma 90.00
loop_
_symmetry_equiv_pos_as_xyz
'x,y,z'
'-x,-y,-z'
'-x,y,-z'
'x,-y,z'
loop_
_atom_site_label
_atom_site_type_symbol
_atom_site_fract_x
_atom_site_fract_y
_atom_site_fract_z
Cu1 Cu 0.000 0.000 0.000
Tc1 Tc 0.285 0.500 0.760
W1 W 0.500 0.000 0.500
# polymorph energy (0 for the lowest one): 0.061 eV/atom
# calculated density: 12.61 Mg/m³
# volume: 58.4 Å³ per cell
# calculated formation energy: 0.2183 eV per atom

Record 6
# Ce2PmSb, optimized geometry, DFT PBE
data_Ce2PmSb
_symmetry_space_group_name_H-M 'P 4/m m m'
_symmetry_Int_Tables_number 123
_symmetry_space_group_name_Hall '-P 4 2'
_cell_length_a 4.213
_cell_length_b 4.213
_cell_length_c 6.827
_cell_angle_alpha 90.00
_cell_angle_beta 90.00
_cell_angle_gamma 90.00
loop_
_atom_site_label
_atom_site_type_symbol
_atom_site_fract_x
_atom_site_fract_y
_atom_site_fract_z
Ce1 Ce 0.000 0.000 0.196
Pm1 Pm 0.500 0.500 0.500
Sb1 Sb 0.500 0.500 0.000
# polymorph energy (0 for the lowest one): 0.120 eV/atom
# calculated density: 7.49 Mg/m³
# volume: 121.2 Å³ per cell
# formation energy (no corrections): -483 meV/atom